[1]
Here is a relaxed Er3Al3In2Pd crystal from the Alexandria database. Energies are from PBE-GGA.

Structure (POSCAR):
```
Er3Al3In2Pd
1.0
7.130 0.000 0.000
-3.565 6.175 0.000
0.000 0.000 4.428
Er Al In Pd
3 3 2 1
Cartesian
-1.448 2.508 0.000 Er
2.896 0.000 0.000 Er
2.117 3.666 0.000 Er
-2.756 4.773 2.214 Al
0.809 1.401 2.214 Al
5.512 0.000 2.214 Al
0.000 4.117 2.214 In
3.565 2.058 2.214 In
0.000 0.000 0.000 Pd
```

**E_tot**: -41.06 eV for the cell shown
**Energy of formation from the pure elements**: -0.608 eV per atom

=====

[2]
Here is a relaxed TbScSe3 crystal from the Alexandria database. Energies are from PBE-GGA.

Structure (POSCAR):
```
TbScSe3
1.0
6.747 0.000 0.000
0.000 4.021 0.000
-1.770 0.000 10.121
Tb Sc Se
2 2 6
Cartesian
0.747 1.005 1.503 Tb
4.230 3.016 8.618 Tb
0.884 1.005 5.240 Sc
4.093 3.016 4.881 Sc
-0.251 3.016 3.590 Se
-0.081 3.016 9.998 Se
1.994 3.016 6.627 Se
2.982 1.005 3.494 Se
5.058 1.005 0.123 Se
5.227 1.005 6.531 Se
```

**Uncorrected formation energy**: -1.749 eV per atom
**E above lowest polymorph**: 19.5 meV per atom
**E_tot**: -60.32 eV for the cell shown

=====

[3]
Here is a relaxed TbPmOs4 crystal from the Alexandria database. Energies are from PBE-GGA.

Structure (POSCAR):
```
TbPmOs4
1.0
0.000 3.816 3.816
3.816 0.000 3.816
3.816 3.816 0.000
Tb Pm Os
1 1 4
Cartesian
0.000 0.000 0.000 Tb
5.724 5.724 5.724 Pm
2.861 2.861 2.861 Os
4.771 4.771 2.861 Os
4.771 2.861 4.771 Os
2.861 4.771 4.771 Os
```

**E_tot**: -55.41 eV for the cell shown
**Energy of formation from the pure elements**: -0.185 eV per atom

=====

[4]
Here is a relaxed Tm3PbSeO crystal from the Alexandria database. Energies are from PBE-GGA.

Structure (POSCAR):
```
Tm3PbSeO
1.0
8.794 0.000 0.000
0.000 3.931 0.000
-1.914 0.000 8.586
Tm Pb Se O
6 2 2 2
Cartesian
-0.155 0.983 1.365 Tm
1.851 2.948 4.959 Tm
2.907 2.948 0.923 Tm
3.973 0.983 7.663 Tm
5.029 0.983 3.627 Tm
7.035 2.948 7.221 Tm
0.830 0.983 7.044 Pb
6.050 2.948 1.542 Pb
2.291 0.983 2.963 Se
4.589 2.948 5.622 Se
0.680 2.948 0.759 O
6.200 0.983 7.827 O
```

**Uncorrected formation energy**: -1.691 eV per atom
**E_tot**: -71.42 eV for the cell shown

=====

[5]
Here is a relaxed CeThCN crystal from the Alexandria database. Energies are from PBE-GGA.

Structure (POSCAR):
```
CeThCN
1.0
-1.657 1.663 6.214
1.657 -1.663 6.214
1.657 1.663 -6.214
Ce Th C N
1 1 1 1
Cartesian
0.000 0.000 0.000 Ce
0.000 1.663 3.133 Th
1.657 0.000 2.065 C
0.000 0.000 5.220 N
```

**Uncorrected formation energy**: -0.466 eV per atom
**E above lowest polymorph**: 396.4 meV per atom
**E_tot**: -32.77 eV for the cell shown

=====

[6]
Here is a relaxed Ho6Ge2PbS3 crystal from the Alexandria database. Energies are from PBE-GGA.

Structure (POSCAR):
```
Ho6Ge2PbS3
1.0
8.903 -2.022 0.000
8.903 2.022 0.000
-1.952 0.000 7.991
Ho Ge Pb S
6 2 1 3
Cartesian
-0.440 0.000 1.828 Ho
16.293 0.000 6.162 Ho
5.006 0.000 3.269 Ho
4.095 0.000 7.344 Ho
11.759 0.000 0.647 Ho
10.847 0.000 4.721 Ho
1.323 0.000 6.651 Ge
14.530 0.000 1.339 Ge
7.927 0.000 3.995 Pb
2.322 0.000 2.646 S
8.903 0.000 0.000 S
13.532 0.000 5.345 S
```

**Uncorrected formation energy**: -1.332 eV per atom
**E_tot**: -68.78 eV for the cell shown

=====

[7]
Here is a relaxed PmSm2Ni6 crystal from the Alexandria database. Energies are from PBE-GGA.

Structure (POSCAR):
```
PmSm2Ni6
1.0
6.937 0.000 0.000
-3.469 6.008 0.000
0.000 0.000 3.930
Pm Sm Ni
1 2 6
Cartesian
0.000 0.000 0.000 Pm
0.000 4.005 0.000 Sm
3.469 2.003 0.000 Sm
-1.157 2.005 1.965 Ni
-2.311 4.003 1.965 Ni
2.315 0.000 1.965 Ni
1.157 2.005 1.965 Ni
4.623 0.000 1.965 Ni
2.311 4.003 1.965 Ni
```

**E_tot**: -51.95 eV for the cell shown
**Energy of formation from the pure elements**: -0.342 eV per atom

=====

[8]
Here is a relaxed AlTc2Se crystal from the Alexandria database. Energies are from PBE-GGA.

Structure (POSCAR):
```
AlTc2Se
1.0
1.523 -2.489 0.000
1.523 2.489 0.000
0.000 0.000 8.202
Al Tc Se
1 2 1
Cartesian
0.000 0.000 0.000 Al
1.523 0.000 2.088 Tc
1.523 0.000 6.113 Tc
0.000 0.000 4.101 Se
```

**Uncorrected formation energy**: 0.287 eV per atom
**E above lowest polymorph**: 369.8 meV per atom
**E_tot**: -26.81 eV for the cell shown